Entry 1:
First-principles (PBE) data for a relaxed structure of ZrFeGe3, as listed in the Alexandria database.

Structure (CIF):
```
data_ZrFeGe3
_cell_length_a 11.336
_cell_length_b 5.429
_cell_length_c 5.379
_cell_angle_alpha 90.00
_cell_angle_beta 90.00
_cell_angle_gamma 90.00
_space_group_name_H-M_alt 'P b c m'
_space_group_IT_number 57
loop_
_space_group_symop_operation_xyz
'x,y,z'
'-x,-y,-z'
'-x,-y,z+1/2'
'x,y,-z+1/2'
'x,-y+1/2,-z'
'-x,y+1/2,z'
'-x,y+1/2,-z+1/2'
'x,-y+1/2,z+1/2'
loop_
_atom_site_label
_atom_site_fract_x
_atom_site_fract_y
_atom_site_fract_z
Zr1 0.195 0.008 0.250
Fe1 0.395 0.250 0.000
Ge1 0.000 0.250 0.000
Ge2 0.276 0.520 0.250
Ge3 0.442 0.605 0.750
```

Results
**Calculated total energy**: -0.2413 hartree per atom
**Energy of formation from the pure elements**: -0.395 eV per atom
**Fermi-level density of states**: 3.40 states/eV/f.u.

Entry 2:
First-principles (PBE) data for a relaxed structure of Na3Tl3CuF8, as listed in the Alexandria database.

Structure (CIF):
```
data_Na3Tl3CuF8
_cell_length_a 12.135
_cell_length_b 6.841
_cell_length_c 7.476
_cell_angle_alpha 90.00
_cell_angle_beta 122.02
_cell_angle_gamma 90.00
_space_group_name_H-M_alt 'C 1 2/m 1'
_space_group_IT_number 12
loop_
_space_group_symop_operation_xyz
'x,y,z'
'-x,-y,-z'
'-x,y,-z'
'x,-y,z'
'x+1/2,y+1/2,z'
'-x+1/2,-y+1/2,-z'
'-x+1/2,y+1/2,-z'
'x+1/2,-y+1/2,z'
loop_
_atom_site_label
_atom_site_fract_x
_atom_site_fract_y
_atom_site_fract_z
Na1 0.000 0.000 0.000
Na2 0.250 0.250 0.000
Tl1 0.000 0.500 0.500
Tl2 0.250 0.250 0.500
Cu1 0.000 0.500 0.000
F1 0.015 0.293 0.832
F2 0.229 0.000 0.194
F3 0.241 0.500 0.210
```

Results
**Calculated total energy**: -0.1498 hartree per atom

Entry 3:
First-principles (PBE) data for a relaxed structure of OsAuSe2, as listed in the Alexandria database.

Structure (CIF):
```
data_OsAuSe2
_cell_length_a 2.873
_cell_length_b 5.205
_cell_length_c 10.434
_cell_angle_alpha 90.00
_cell_angle_beta 90.00
_cell_angle_gamma 90.00
_space_group_name_H-M_alt 'C m m 2'
_space_group_IT_number 35
loop_
_space_group_symop_operation_xyz
'x,y,z'
'-x,-y,z'
'-x,y,z'
'x,-y,z'
'x+1/2,y+1/2,z'
'-x+1/2,-y+1/2,z'
'-x+1/2,y+1/2,z'
'x+1/2,-y+1/2,z'
loop_
_atom_site_label
_atom_site_fract_x
_atom_site_fract_y
_atom_site_fract_z
Os1 0.000 0.000 0.000
Au1 0.000 0.500 0.231
Se1 0.000 0.000 0.476
Se2 0.000 0.500 0.812
```

Results
**Calculated total energy**: -0.1772 hartree per atom
**Offset from the most stable computed form**: 455 meV/atom
**Fermi-level density of states**: 3.96 states/eV/f.u.

Entry 4:
First-principles (PBE) data for a relaxed structure of La3In2GePd9, as listed in the Alexandria database.

Structure (CIF):
```
data_La3In2GePd9
_cell_length_a 7.0024
_cell_length_b 7.0024
_cell_length_c 8.4999
_cell_angle_alpha 90.00
_cell_angle_beta 90.00
_cell_angle_gamma 120.00
_space_group_name_H-M_alt 'P -3 m 1'
_space_group_IT_number 164
_space_group_name_Hall '-P 3 2"'
loop_
_atom_site_label
_atom_site_fract_x
_atom_site_fract_y
_atom_site_fract_z
La1 0.0000 0.0000 0.0000
La2 0.3333 0.6667 0.7338
In1 0.3333 0.6667 0.2097
Ge1 0.0000 0.0000 0.5000
Pd1 0.0000 0.5000 0.0000
Pd2 0.1313 0.2625 0.2821
```

Results
**Calculated total energy**: -0.1919 hartree per atom
**Energy of formation from the pure elements**: -0.447 eV per atom
**Fermi-level density of states**: 7.24 states/eV/f.u.